[1]
# LiAg2Sb

A geometry-optimized LiAg2Sb structure (PBE, the Alexandria database).

The space group is R-3m (No. 166, hexagonal axes) and the conventional cell measures 3.1734, 3.1734 and 28.0202 Å, with angles of 90.00, 90.00 and 120.00 degrees. Symmetry generates all atoms from Li at (0.0000, 0.0000, 0.0000), Ag at (0.0000, 0.0000, 0.2566) and Sb at (0.0000, 0.0000, 0.5000).

As for the formation energy from raw total energies: 0.075 eV per atom.

=====

[2]
# LiAgSb2

A geometry-optimized LiAgSb2 structure (PBE, the Alexandria database).

The space group is Pm (No. 6) and the conventional cell measures 3.292, 5.813 and 4.853 Å, with angles of 90.00, 90.02 and 90.00 degrees. Symmetry generates all atoms from Li at (0.000, 0.000, 0.000), Ag at (0.996, 0.500, 0.756), Sb at (0.497, 0.500, 0.252) and Sb at (0.500, 0.000, 0.499).

As for the energy relative to the lowest polymorph listed for this composition: 0.046 eV/atom. As for the formation energy from raw total energies: -0.109 eV per atom.

=====

Repeat the second record exactly.
# LiAgSb2

A geometry-optimized LiAgSb2 structure (PBE, the Alexandria database).

The space group is Pm (No. 6) and the conventional cell measures 3.292, 5.813 and 4.853 Å, with angles of 90.00, 90.02 and 90.00 degrees. Symmetry generates all atoms from Li at (0.000, 0.000, 0.000), Ag at (0.996, 0.500, 0.756), Sb at (0.497, 0.500, 0.252) and Sb at (0.500, 0.000, 0.499).

As for the energy relative to the lowest polymorph listed for this composition: 0.046 eV/atom. As for the formation energy from raw total energies: -0.109 eV per atom.

=====

Copy entry 1 word for word.
# LiAg2Sb

A geometry-optimized LiAg2Sb structure (PBE, the Alexandria database).

The space group is R-3m (No. 166, hexagonal axes) and the conventional cell measures 3.1734, 3.1734 and 28.0202 Å, with angles of 90.00, 90.00 and 120.00 degrees. Symmetry generates all atoms from Li at (0.0000, 0.0000, 0.0000), Ag at (0.0000, 0.0000, 0.2566) and Sb at (0.0000, 0.0000, 0.5000).

As for the formation energy from raw total energies: 0.075 eV per atom.

=====

Please write out number 1 again, unchanged.
# LiAg2Sb

A geometry-optimized LiAg2Sb structure (PBE, the Alexandria database).

The space group is R-3m (No. 166, hexagonal axes) and the conventional cell measures 3.1734, 3.1734 and 28.0202 Å, with angles of 90.00, 90.00 and 120.00 degrees. Symmetry generates all atoms from Li at (0.0000, 0.0000, 0.0000), Ag at (0.0000, 0.0000, 0.2566) and Sb at (0.0000, 0.0000, 0.5000).

As for the formation energy from raw total energies: 0.075 eV per atom.

=====

- formation energy from raw total energies of number 2 (LiAgSb2)?
  -0.109 eV per atom